Computed, not measured: crystalline AlInMo2 at its relaxed geometry at the PBE level of DFT.

abc: 4.329 3.951 3.951
angles: 90.00 90.00 90.00
Atoms (fractional coordinates):
Mo 0.000 0.000 0.000
Mo 0.000 0.500 0.500
Al 0.500 0.500 0.000
In 0.500 0.000 0.500

Results
Final energy: -6.781 eV per atom
E above lowest polymorph: 90 kJ/mol of formula units
ρ: 8.201 g cm⁻³
Crystal system: tetragonal
DOS(E_F): 0.76 states/eV/atom
Energy of formation from the pure elements: 255 meV per atom